(1)
Material: Ac4CdNi2
Method: DFT, PBE
State: relaxed

```
data_Ac4CdNi2
_chemical_formula_sum 'Ac8 Cd2 Ni4'
_cell_length_a 8.5370
_cell_length_b 8.5369
_cell_length_c 8.5844
_cell_angle_alpha 108.66
_cell_angle_beta 108.67
_cell_angle_gamma 110.86
_space_group_name_H-M_alt 'P 1'
_space_group_IT_number 1
loop_
_space_group_symop_operation_xyz
'x,y,z'
loop_
_atom_site_label
_atom_site_type_symbol
_atom_site_fract_x
_atom_site_fract_y
_atom_site_fract_z
_atom_site_occupancy
Cd1 Cd 0.0001 0.9998 0.0000 1
Cd2 Cd 0.2500 0.7502 0.5000 1
Ac1 Ac 0.3387 0.5231 0.1828 1
Ac2 Ac 0.9093 0.5939 0.6822 1
Ac3 Ac 0.9117 0.2269 0.3175 1
Ac4 Ac 0.8440 0.6593 0.1823 1
Ac5 Ac 0.4060 0.0903 0.3174 1
Ac6 Ac 0.4769 0.6616 0.8175 1
Ac7 Ac 0.7732 0.0887 0.6829 1
Ac8 Ac 0.3403 0.1560 0.8174 1
Ni1 Ni 0.6249 0.3749 0.2498 1
Ni2 Ni 0.6247 0.3751 0.7498 1
Ni3 Ni 0.1249 0.3753 0.7502 1
Ni4 Ni 0.6251 0.8751 0.2502 1
```

mass density: 7.83 g cm⁻³
total magnetization: 0.00 Bohr magnetons per cell
E_form: -0.788 eV per formula unit
energy above the most stable polymorph in this dataset: 0.083 eV/atom

=====

(2)
Material: ZnHg2C
Method: DFT, PBE
State: relaxed

```
data_ZnHg2C
_chemical_formula_sum 'Zn2 Hg4 C2'
_cell_length_a 6.9634
_cell_length_b 6.9634
_cell_length_c 6.9634
_cell_angle_alpha 120.14
_cell_angle_beta 120.14
_cell_angle_gamma 89.76
_space_group_name_H-M_alt 'P 1'
_space_group_IT_number 1
loop_
_space_group_symop_operation_xyz
'x,y,z'
loop_
_atom_site_label
_atom_site_type_symbol
_atom_site_fract_x
_atom_site_fract_y
_atom_site_fract_z
_atom_site_occupancy
Zn1 Zn 0.3750 0.6250 0.7500 1
Zn2 Zn 0.6250 0.3750 0.2500 1
Hg1 Hg 0.0000 0.0000 0.0000 1
Hg2 Hg 0.0000 0.0000 0.5000 1
Hg3 Hg 0.0000 0.5000 0.0000 1
Hg4 Hg 0.5000 0.0000 0.5000 1
C1 C 0.1250 0.8750 0.2500 1
C2 C 0.8750 0.1250 0.7500 1
```

mass density: 6.67 g cm⁻³
total magnetization: 0.00 Bohr magnetons per cell
E_form: 3.600 eV per formula unit
symmetry: No. 141
energy above the most stable polymorph in this dataset: 0.000 eV/atom

=====

(3)
Material: La2IrRu
Method: DFT, PBE
State: relaxed

```
data_La2IrRu
_chemical_formula_sum 'La2 Ir1 Ru1'
_cell_length_a 3.7403
_cell_length_b 3.7403
_cell_length_c 7.6102
_cell_angle_alpha 90.00
_cell_angle_beta 90.00
_cell_angle_gamma 90.00
_space_group_name_H-M_alt 'P 1'
_space_group_IT_number 1
loop_
_space_group_symop_operation_xyz
'x,y,z'
loop_
_atom_site_label
_atom_site_type_symbol
_atom_site_fract_x
_atom_site_fract_y
_atom_site_fract_z
_atom_site_occupancy
La1 La 0.0000 0.0000 0.0000 1
La2 La 0.5000 0.5000 0.4566 1
Ir1 Ir 0.5000 0.5000 0.8014 1
Ru1 Ru 0.0000 0.0000 0.6683 1
```

mass density: 8.91 g cm⁻³
total magnetization: 0.00 Bohr magnetons per cell
E_form: -0.133 eV per formula unit
symmetry: No. 99

=====

(4)
Material: LiRuPb3
Method: DFT, PBE
State: relaxed

```
data_LiRuPb3
_chemical_formula_sum 'Li1 Ru1 Pb3'
_cell_length_a 4.9945
_cell_length_b 4.9945
_cell_length_c 4.9945
_cell_angle_alpha 90.00
_cell_angle_beta 90.00
_cell_angle_gamma 90.00
_space_group_name_H-M_alt 'P 1'
_space_group_IT_number 1
loop_
_space_group_symop_operation_xyz
'x,y,z'
loop_
_atom_site_label
_atom_site_type_symbol
_atom_site_fract_x
_atom_site_fract_y
_atom_site_fract_z
_atom_site_occupancy
Li1 Li 0.0000 0.0000 0.0000 1
Ru1 Ru 0.5000 0.5000 0.5000 1
Pb1 Pb 0.0000 0.0000 0.5000 1
Pb2 Pb 0.0000 0.5000 0.0000 1
Pb3 Pb 0.5000 0.0000 0.0000 1
```

mass density: 9.72 g cm⁻³
total magnetization: 1.78 Bohr magnetons per cell
E_form: 4.207 eV per formula unit
symmetry: No. 221
energy above the most stable polymorph in this dataset: 0.538 eV/atom

=====

(5)
Material: YAs2Pd2
Method: DFT, PBE
State: relaxed

```
data_YAs2Pd2
_chemical_formula_sum 'Y2 As4 Pd4'
_cell_length_a 7.5064
_cell_length_b 7.5064
_cell_length_c 3.3516
_cell_angle_alpha 90.00
_cell_angle_beta 90.00
_cell_angle_gamma 90.00
_space_group_name_H-M_alt 'P 1'
_space_group_IT_number 1
loop_
_space_group_symop_operation_xyz
'x,y,z'
loop_
_atom_site_label
_atom_site_type_symbol
_atom_site_fract_x
_atom_site_fract_y
_atom_site_fract_z
_atom_site_occupancy
Y1 Y 0.0000 0.0000 0.0000 1
Y2 Y 0.5000 0.5000 0.0000 1
As1 As 0.1849 0.3151 0.5000 1
As2 As 0.3151 0.8151 0.5000 1
As3 As 0.6849 0.1849 0.5000 1
As4 As 0.8151 0.6849 0.5000 1
Pd1 Pd 0.1266 0.6266 0.0000 1
Pd2 Pd 0.3734 0.1266 0.0000 1
Pd3 Pd 0.6266 0.8734 0.0000 1
Pd4 Pd 0.8734 0.3734 0.0000 1
```

mass density: 7.94 g cm⁻³
total magnetization: 0.00 Bohr magnetons per cell
E_form: -2.719 eV per formula unit
symmetry: No. 127

=====

(6)
Material: Fe2HgIr
Method: DFT, PBE
State: relaxed

```
data_Fe2HgIr
_chemical_formula_sum 'Fe2 Hg1 Ir1'
_cell_length_a 2.7978
_cell_length_b 2.7978
_cell_length_c 7.6541
_cell_angle_alpha 90.00
_cell_angle_beta 90.00
_cell_angle_gamma 90.00
_space_group_name_H-M_alt 'P 1'
_space_group_IT_number 1
loop_
_space_group_symop_operation_xyz
'x,y,z'
loop_
_atom_site_label
_atom_site_type_symbol
_atom_site_fract_x
_atom_site_fract_y
_atom_site_fract_z
_atom_site_occupancy
Fe1 Fe 0.0000 0.0000 0.2256 1
Fe2 Fe 0.0000 0.0000 0.7744 1
Hg1 Hg 0.5000 0.5000 0.5000 1
Ir1 Ir 0.5000 0.5000 0.0000 1
```

mass density: 13.98 g cm⁻³
total magnetization: 5.67 Bohr magnetons per cell
E_form: 0.958 eV per formula unit
symmetry: No. 123

=====

Which of these has the highest mass density? Fe2HgIr